(1)
# TbSm2ThSe4 | Alexandria | PBE-GGA | relaxed
# Space-group type   No. 10
# Formation energy without anion corrections   -1.73 eV/atom
# Magnetization   0.00 μB per atom
data_TbSm2ThSe4
_chemical_formula_sum 'Tb1 Sm2 Th1 Se4'
_cell_length_a 4.135
_cell_length_b 7.198
_cell_length_c 7.259
_cell_angle_alpha 70.80
_cell_angle_beta 90.00
_cell_angle_gamma 90.00
_space_group_name_H-M_alt 'P 1'
_space_group_IT_number 1
loop_
_space_group_symop_operation_xyz
'x,y,z'
loop_
_atom_site_label
_atom_site_type_symbol
_atom_site_fract_x
_atom_site_fract_y
_atom_site_fract_z
Tb1 Tb 0.000 0.500 0.500
Sm1 Sm 0.000 0.000 0.000
Sm2 Sm 0.500 0.000 0.500
Th1 Th 0.500 0.500 0.000
Se1 Se 0.000 0.751 0.744
Se2 Se 0.000 0.249 0.256
Se3 Se 0.500 0.746 0.256
Se4 Se 0.500 0.254 0.744

---

(2)
# Tb2Sm3ThSe6 | Alexandria | PBE-GGA | relaxed
# Space-group type   No. 12
# Formation energy without anion corrections   -1.75 eV/atom
# Magnetization   0.00 μB per atom
data_Tb2Sm3ThSe6
_chemical_formula_sum 'Tb2 Sm3 Th1 Se6'
_cell_length_a 4.139
_cell_length_b 8.345
_cell_length_c 9.259
_cell_angle_alpha 102.26
_cell_angle_beta 102.92
_cell_angle_gamma 90.00
_space_group_name_H-M_alt 'P 1'
_space_group_IT_number 1
loop_
_space_group_symop_operation_xyz
'x,y,z'
loop_
_atom_site_label
_atom_site_type_symbol
_atom_site_fract_x
_atom_site_fract_y
_atom_site_fract_z
Tb1 Tb 0.835 0.670 0.670
Tb2 Tb 0.165 0.330 0.330
Sm1 Sm 0.500 0.500 0.000
Sm2 Sm 0.838 0.166 0.675
Sm3 Sm 0.162 0.834 0.325
Th1 Th 0.500 0.000 0.000
Se1 Se 0.330 0.910 0.660
Se2 Se 0.669 0.580 0.339
Se3 Se 0.670 0.090 0.340
Se4 Se 0.003 0.256 0.006
Se5 Se 0.997 0.744 0.994
Se6 Se 0.331 0.420 0.661

---

(3)
# Tb2SmThSe4 | Alexandria | PBE-GGA | relaxed
# Space-group type   No. 10
# Formation energy without anion corrections   -1.72 eV/atom
# Magnetization   0.00 μB per atom
data_Tb2SmThSe4
_chemical_formula_sum 'Tb2 Sm1 Th1 Se4'
_cell_length_a 4.101
_cell_length_b 7.239
_cell_length_c 7.163
_cell_angle_alpha 70.96
_cell_angle_beta 90.00
_cell_angle_gamma 90.00
_space_group_name_H-M_alt 'P 1'
_space_group_IT_number 1
loop_
_space_group_symop_operation_xyz
'x,y,z'
loop_
_atom_site_label
_atom_site_type_symbol
_atom_site_fract_x
_atom_site_fract_y
_atom_site_fract_z
Tb1 Tb 0.000 0.000 0.000
Tb2 Tb 0.500 0.000 0.500
Sm1 Sm 0.500 0.500 0.000
Th1 Th 0.000 0.500 0.500
Se1 Se 0.000 0.759 0.749
Se2 Se 0.000 0.241 0.251
Se3 Se 0.500 0.761 0.244
Se4 Se 0.500 0.239 0.756

---

What is the magnetization in the third record? 0.00 μB per atom

---

The highest formation energy without anion corrections belongs to which entry? Tb2SmThSe4

---

Which value of magnetization does entry 2 give? 0.00 μB per atom